Material: Pm8CS6
Method: DFT, PBE-GGA
State: relaxed

Values from the calculation:
- raw total energy (eV per atom) = -5.992
- uncorrected formation energy (eV per atom) = -1.192
- crystal system = trigonal
- calculated density (g/cm3) = 6.27

a = 10.0437 Å, b = 10.0437 Å, c = 4.1333 Å
α = 90.00°, β = 90.00°, γ = 120.00°
Space group P-3 (No. 147)
Unique sites:
Pm 0.0281 0.7247 0.2628 (multiplicity 6)
Pm 0.3333 0.6667 0.7468 (multiplicity 2)
C 0.0000 0.0000 0.5000 (multiplicity 1)
S 0.1282 0.4782 0.2458 (multiplicity 6)